Record 1
# La3Te2I

A relaxed structure of La3Te2I (PBE-GGA, the Alexandria database).

The structure belongs to space group Immm (No. 71); the cell edges are 4.667, 6.482 and 13.509 Å and the angles 90.00°, 90.00° and 90.00°. The distinct sites, in fractional coordinates, are La at (0.000, 0.000, 0.000), La at (0.000, 0.000, 0.325), Te at (0.000, 0.500, 0.336) and I at (0.000, 0.500, 0.000).

The density of states at the Fermi level comes out at 0.924 states/eV per atom. The energy relative to the elements, uncorrected comes out at -8.3 eV/f.u. The total DFT energy (no corrections) comes out at -61.771 eV for the cell shown.

=====

Record 2
# La2TeI

A relaxed structure of La2TeI (PBE-GGA, the Alexandria database).

The structure belongs to space group P4/mmm (No. 123); the cell edges are 3.943, 3.943 and 7.890 Å and the angles 90.00°, 90.00° and 90.00°. The distinct sites, in fractional coordinates, are La at (0.000, 0.000, 0.239), Te at (0.500, 0.500, 0.000) and I at (0.500, 0.500, 0.500).

The density of states at the Fermi level comes out at 0.741 states/eV per atom. The calculation puts the energy above the most stable polymorph in this dataset at 0.0304 eV per atom. The energy relative to the elements, uncorrected comes out at -5.0 eV/f.u. The total DFT energy (no corrections) comes out at -19.538 eV for the cell shown.

=====

Record 3
# LaTiTe2I

A relaxed structure of LaTiTe2I (PBE-GGA, the Alexandria database).

The structure belongs to space group P4/mmm (No. 123); the cell edges are 6.157, 6.157 and 6.127 Å and the angles 90.00°, 90.00° and 90.00°. The distinct sites, in fractional coordinates, are La at (0.000, 0.000, 0.000), Ti at (0.500, 0.500, 0.500), Te at (0.000, 0.500, 0.000) and I at (0.000, 0.000, 0.500).

The density of states at the Fermi level comes out at 1.369 states/eV per atom. The calculation puts the energy above the most stable polymorph in this dataset at 0.6384 eV per atom. The energy relative to the elements, uncorrected comes out at 0.0 eV/f.u. The total DFT energy (no corrections) comes out at -20.699 eV for the cell shown.

=====

Record 4
# LaTiTeI2

A relaxed structure of LaTiTeI2 (PBE-GGA, the Alexandria database).

The structure belongs to space group P4/mmm (No. 123); the cell edges are 5.403, 5.403 and 5.519 Å and the angles 90.00°, 90.00° and 90.00°. The distinct sites, in fractional coordinates, are La at (0.000, 0.000, 0.000), Ti at (0.500, 0.500, 0.500), Te at (0.500, 0.500, 0.000) and I at (0.000, 0.500, 0.500).

The density of states at the Fermi level comes out at 1.380 states/eV per atom. The calculation puts the energy above the most stable polymorph in this dataset at 0.0000 eV per atom. The energy relative to the elements, uncorrected comes out at -2.6 eV/f.u. The total DFT energy (no corrections) comes out at -21.653 eV for the cell shown.

=====

Record 5
# LaTiTe2I

A relaxed structure of LaTiTe2I (PBE-GGA, the Alexandria database).

The structure belongs to space group P4/mmm (No. 123); the cell edges are 5.449, 5.449 and 5.384 Å and the angles 90.00°, 90.00° and 90.00°. The distinct sites, in fractional coordinates, are La at (0.000, 0.000, 0.000), Ti at (0.500, 0.500, 0.500), Te at (0.000, 0.500, 0.500) and I at (0.500, 0.500, 0.000).

The density of states at the Fermi level comes out at 1.263 states/eV per atom. The calculation puts the energy above the most stable polymorph in this dataset at 0.0000 eV per atom. The energy relative to the elements, uncorrected comes out at -3.2 eV/f.u. The total DFT energy (no corrections) comes out at -23.891 eV for the cell shown.

=====

Record 6
# LaTiTeI2

A relaxed structure of LaTiTeI2 (PBE-GGA, the Alexandria database).

The structure belongs to space group P4/mmm (No. 123); the cell edges are 6.220, 6.220 and 6.211 Å and the angles 90.00°, 90.00° and 90.00°. The distinct sites, in fractional coordinates, are La at (0.000, 0.000, 0.000), Ti at (0.500, 0.500, 0.500), Te at (0.000, 0.000, 0.500) and I at (0.000, 0.500, 0.000).

The density of states at the Fermi level comes out at 1.582 states/eV per atom. The calculation puts the energy above the most stable polymorph in this dataset at 0.3429 eV per atom. The energy relative to the elements, uncorrected comes out at -0.9 eV/f.u. The total DFT energy (no corrections) comes out at -19.939 eV for the cell shown.

=====

Record 7
# LaTlTe2I

A relaxed structure of LaTlTe2I (PBE-GGA, the Alexandria database).

The structure belongs to space group P4/mmm (No. 123); the cell edges are 5.797, 5.797 and 5.840 Å and the angles 90.00°, 90.00° and 90.00°. The distinct sites, in fractional coordinates, are La at (0.000, 0.000, 0.000), Tl at (0.500, 0.500, 0.500), Te at (0.000, 0.500, 0.500) and I at (0.500, 0.500, 0.000).

The density of states at the Fermi level comes out at 1.167 states/eV per atom. The calculation puts the energy above the most stable polymorph in this dataset at 0.4817 eV per atom. The energy relative to the elements, uncorrected comes out at -1.2 eV/f.u. The total DFT energy (no corrections) comes out at -16.328 eV for the cell shown.

=====

Record 8
# LaTl2TeI

A relaxed structure of LaTl2TeI (PBE-GGA, the Alexandria database).

The structure belongs to space group P4/mmm (No. 123); the cell edges are 6.488, 6.488 and 5.917 Å and the angles 90.00°, 90.00° and 90.00°. The distinct sites, in fractional coordinates, are La at (0.000, 0.000, 0.000), Tl at (0.000, 0.500, 0.000), Te at (0.500, 0.500, 0.500) and I at (0.000, 0.000, 0.500).

The density of states at the Fermi level comes out at 0.639 states/eV per atom. The energy relative to the elements, uncorrected comes out at 0.3 eV/f.u. The total DFT energy (no corrections) comes out at -14.031 eV for the cell shown.

=====

Record 9
# LaTlTe2I

A relaxed structure of LaTlTe2I (PBE-GGA, the Alexandria database).

The structure belongs to space group P4/mmm (No. 123); the cell edges are 6.173, 6.173 and 6.345 Å and the angles 90.00°, 90.00° and 90.00°. The distinct sites, in fractional coordinates, are La at (0.000, 0.000, 0.000), Tl at (0.500, 0.500, 0.500), Te at (0.000, 0.500, 0.000) and I at (0.000, 0.000, 0.500).

The density of states at the Fermi level comes out at 1.457 states/eV per atom. The calculation puts the energy above the most stable polymorph in this dataset at 0.0000 eV per atom. The energy relative to the elements, uncorrected comes out at -3.6 eV/f.u. The total DFT energy (no corrections) comes out at -18.736 eV for the cell shown.

=====

Record 10
# LaTlTeI2

A relaxed structure of LaTlTeI2 (PBE-GGA, the Alexandria database).

The structure belongs to space group P4/mmm (No. 123); the cell edges are 6.317, 6.317 and 6.182 Å and the angles 90.00°, 90.00° and 90.00°. The distinct sites, in fractional coordinates, are La at (0.000, 0.000, 0.000), Tl at (0.500, 0.500, 0.500), Te at (0.000, 0.000, 0.500) and I at (0.000, 0.500, 0.000).

The energy relative to the elements, uncorrected comes out at -4.9 eV/f.u. The total DFT energy (no corrections) comes out at -18.474 eV for the cell shown.

=====

Record 11
# LaVTe2I

A relaxed structure of LaVTe2I (PBE-GGA, the Alexandria database).

The structure belongs to space group P4/mmm (No. 123); the cell edges are 5.431, 5.431 and 5.290 Å and the angles 90.00°, 90.00° and 90.00°. The distinct sites, in fractional coordinates, are La at (0.000, 0.000, 0.000), V at (0.500, 0.500, 0.500), Te at (0.000, 0.500, 0.500) and I at (0.500, 0.500, 0.000).

The density of states at the Fermi level comes out at 0.522 states/eV per atom. The calculation puts the energy above the most stable polymorph in this dataset at 0.0000 eV per atom. The energy relative to the elements, uncorrected comes out at -2.6 eV/f.u. The total DFT energy (no corrections) comes out at -24.501 eV for the cell shown.

=====

Record 12
# LaVTe2I

A relaxed structure of LaVTe2I (PBE-GGA, the Alexandria database).

The structure belongs to space group P4/mmm (No. 123); the cell edges are 6.168, 6.168 and 6.162 Å and the angles 90.00°, 90.00° and 90.00°. The distinct sites, in fractional coordinates, are La at (0.000, 0.000, 0.000), V at (0.500, 0.500, 0.500), Te at (0.000, 0.500, 0.000) and I at (0.000, 0.000, 0.500).

The density of states at the Fermi level comes out at 1.583 states/eV per atom. The calculation puts the energy above the most stable polymorph in this dataset at 0.6671 eV per atom. The energy relative to the elements, uncorrected comes out at 0.7 eV/f.u. The total DFT energy (no corrections) comes out at -21.166 eV for the cell shown.